No. 1
BaTe4Se | meta-GGA SCAN | PBEsol geometry

Computed properties:
Theoretical density: 6.74 Mg/m³
Raw formation energy: -0.331 eV per atom

Cell: 8.945 8.945 8.945 Å, 90.00 90.00 90.00°
Space group F-43m (No. 216)
Symmetry-distinct sites (fractional):
Ba: 0.000 0.000 0.000 (multiplicity 4)
Te: 0.124 0.124 0.624 (multiplicity 16)
Se: 0.250 0.250 0.250 (multiplicity 4)

No. 2
KY2Os | meta-GGA SCAN | PBEsol geometry

Computed properties:
Polymorph energy (0 for the lowest one): 0.466 eV/atom
Formation energy: 17.65 kcal/mol of atoms
Theoretical density: 7.12 Mg/m³

Cell: 4.279 4.279 10.378 Å, 90.00 90.00 90.00°
Space group I-4m2 (No. 119)
Symmetry-distinct sites (fractional):
K: 0.000 0.000 0.000 (multiplicity 2)
Y: 0.000 0.000 0.500 (multiplicity 2)
Y: 0.000 0.500 0.750 (multiplicity 2)
Os: 0.000 0.500 0.250 (multiplicity 2)

No. 3
MnZnSb2 | meta-GGA SCAN | PBEsol geometry

Computed properties:
Theoretical density: 8.04 Mg/m³
Raw formation energy: 0.366 eV per atom

Cell: 3.108 3.108 7.775 Å, 90.00 90.00 90.00°
Space group P4/mmm (No. 123)
Symmetry-distinct sites (fractional):
Mn: 0.000 0.000 0.000 (multiplicity 1)
Zn: 0.000 0.000 0.500 (multiplicity 1)
Sb: 0.500 0.500 0.204 (multiplicity 2)

No. 4
ZnCdP2 | meta-GGA SCAN | PBEsol geometry

Computed properties:
Polymorph energy (0 for the lowest one): 0.000 eV/atom
Formation energy: 9.60 kcal/mol of atoms
Theoretical density: 5.79 Mg/m³

Cell: 3.697 4.962 7.498 Å, 90.00 90.00 90.00°
Space group Immm (No. 71)
Symmetry-distinct sites (fractional):
Zn: 0.000 0.000 0.000 (multiplicity 2)
Cd: 0.000 0.000 0.500 (multiplicity 2)
P: 0.000 0.500 0.288 (multiplicity 4)

Number 3 is which compound? MnZnSb2

Which of these has the lowest theoretical density? ZnCdP2